## Ac4Hg5Pd3 (PBE)

Data for crystalline Ac4Hg5Pd3 at its relaxed geometry.

Geometry as extended XYZ:
```
12
Lattice="5.2165 -2.6775 0.0000 5.2165 2.6775 0.0000 -0.8919 0.0000 12.5731" Properties=species:S:1:pos:R:3 pbc="T T T"
Ac 0.5519 0.0000 4.2691
Ac 1.4598 0.0000 10.9096
Ac 8.0814 0.0000 1.6636
Ac 8.9893 0.0000 8.3041
Hg 1.9259 0.0000 7.5941
Hg 3.8174 0.0000 5.1515
Hg 5.2165 0.0000 0.0000
Hg 5.7238 0.0000 7.4216
Hg 7.6153 0.0000 4.9791
Pd 0.0000 0.0000 0.0000
Pd 4.3952 0.0000 9.8570
Pd 5.1460 0.0000 2.7162
```

Output
Total magnetic moment   0.00 μB per formula unit
Formation energy from the elements   -0.408 eV per atom



## LiBi3B (PBE)

Data for crystalline LiBi3B at its relaxed geometry.

Geometry as extended XYZ:
```
5
Lattice="5.1260 0.0000 0.0000 0.0000 5.1260 0.0000 0.0000 0.0000 5.1260" Properties=species:S:1:pos:R:3 pbc="T T T"
Li 0.0000 0.0000 0.0000
Bi 0.0000 0.0000 2.5630
Bi 0.0000 2.5630 0.0000
Bi 2.5630 0.0000 0.0000
B 2.5630 2.5630 2.5630
```

Output
Total magnetic moment   0.00 μB per formula unit
Energy above the lowest structure with this stoichiometry   244 kJ/mol of formula units
Formation energy from the elements   1.100 eV per atom



## Hf2CdGa (PBE)

Data for crystalline Hf2CdGa at its relaxed geometry.

Geometry as extended XYZ:
```
12
Lattice="3.0993 0.0000 0.0000 -1.5497 2.6841 0.0000 0.0000 0.0000 29.7631" Properties=species:S:1:pos:R:3 pbc="T T T"
Hf 0.0000 0.0000 7.3141
Hf 0.0000 0.0000 22.4489
Hf 0.0000 1.7894 12.5279
Hf 0.0000 1.7894 27.1562
Hf 1.5497 0.8947 2.6069
Hf 1.5497 0.8947 17.2351
Cd 0.0000 0.0000 0.0000
Cd 0.0000 1.7894 19.8420
Cd 1.5497 0.8947 9.9210
Ga 0.0000 0.0000 14.8815
Ga 0.0000 1.7894 4.9605
Ga 1.5497 0.8947 24.8025
```

Output
Total magnetic moment   0.00 μB per formula unit
Energy above the lowest structure with this stoichiometry   56 kJ/mol of formula units
Formation energy from the elements   -0.067 eV per atom



- What is the total magnetic moment in the second record?
  0.00 μB per formula unit



- Which of these has the lowest formation energy from the elements?
  Ac4Hg5Pd3